No. 1
Below is a PBEsol-optimized structure of PmHoMg2, with properties calculated at the meta-GGA SCAN level.

Summary:
- calculated total energy (eV per cell) = -413.2
- Fermi-level density of states (states/eV/atom) = 1.03
- formation energy (eV/atom) = -0.092
- density (g/cm3) = 5.6
- total moment (μB/atom) = 0.005

CIF file:
```
data_PmHoMg2
_space_group_name_H-M_alt 'F m -3 m'
_space_group_IT_number 225
_space_group_name_Hall '-F 4 2 3'
_cell_length_a 7.532
_cell_length_b 7.532
_cell_length_c 7.532
_cell_angle_alpha 90.00
_cell_angle_beta 90.00
_cell_angle_gamma 90.00
loop_
_atom_site_label
_atom_site_type_symbol
_atom_site_fract_x
_atom_site_fract_y
_atom_site_fract_z
_atom_site_occupancy
Pm1 Pm 0.000 0.000 0.000 1
Ho1 Ho 0.000 0.000 0.500 1
Mg1 Mg 0.250 0.250 0.250 1
```

=====

No. 2
Below is a PBEsol-optimized structure of RbCdRh3, with properties calculated at the meta-GGA SCAN level.

Summary:
- polymorph energy (0 for the lowest one) (eV/f.u.) = 0.00
- calculated total energy (eV per cell) = -145.8
- Fermi-level density of states (states/eV/atom) = 0.87
- formation energy (eV/atom) = 1.339
- density (g/cm3) = 6.9
- total moment (μB/atom) = 0.542

CIF file:
```
data_RbCdRh3
_space_group_name_H-M_alt 'P m -3 m'
_space_group_IT_number 221
_space_group_name_Hall '-P 4 2 3'
_cell_length_a 4.962
_cell_length_b 4.962
_cell_length_c 4.962
_cell_angle_alpha 90.00
_cell_angle_beta 90.00
_cell_angle_gamma 90.00
loop_
_atom_site_label
_atom_site_type_symbol
_atom_site_fract_x
_atom_site_fract_y
_atom_site_fract_z
_atom_site_occupancy
Rb1 Rb 0.000 0.000 0.000 1
Cd1 Cd 0.500 0.500 0.500 1
Rh1 Rh 0.000 0.500 0.500 1
```

=====

No. 3
Below is a PBEsol-optimized structure of FeCo2P, with properties calculated at the meta-GGA SCAN level.

Summary:
- calculated total energy (eV per cell) = -127.3
- Fermi-level density of states (states/eV/atom) = 0.72
- formation energy (eV/atom) = -0.126
- density (g/cm3) = 8.2
- total moment (μB/atom) = 1.155

CIF file:
```
data_FeCo2P
_space_group_name_H-M_alt 'I m m 2'
_space_group_IT_number 44
_space_group_name_Hall 'I 2 -2'
_cell_length_a 2.681
_cell_length_b 3.900
_cell_length_c 7.882
_cell_angle_alpha 90.00
_cell_angle_beta 90.00
_cell_angle_gamma 90.00
loop_
_atom_site_label
_atom_site_type_symbol
_atom_site_fract_x
_atom_site_fract_y
_atom_site_fract_z
_atom_site_occupancy
Fe1 Fe 0.000 0.000 0.000 1
Co1 Co 0.000 0.000 0.443 1
Co2 Co 0.000 0.500 0.224 1
P1 P 0.000 0.500 0.725 1
```

=====

No. 4
Below is a PBEsol-optimized structure of TiHgPt2N, with properties calculated at the meta-GGA SCAN level.

Summary:
- calculated total energy (eV per cell) = -234.6
- Fermi-level density of states (states/eV/atom) = 0.57
- uncorrected formation energy (eV per atom) = -0.151
- density (g/cm3) = 14.9
- total moment (μB/atom) = 0.135

CIF file:
```
data_TiHgPt2N
_space_group_name_H-M_alt 'P 4/m m m'
_space_group_IT_number 123
_space_group_name_Hall '-P 4 2'
_cell_length_a 4.288
_cell_length_b 4.288
_cell_length_c 3.962
_cell_angle_alpha 90.00
_cell_angle_beta 90.00
_cell_angle_gamma 90.00
loop_
_atom_site_label
_atom_site_type_symbol
_atom_site_fract_x
_atom_site_fract_y
_atom_site_fract_z
_atom_site_occupancy
Ti1 Ti 0.000 0.000 0.000 1
Hg1 Hg 0.500 0.500 0.000 1
Pt1 Pt 0.000 0.500 0.500 1
N1 N 0.000 0.000 0.500 1
```

=====

No. 5
Below is a PBEsol-optimized structure of In2RuF, with properties calculated at the meta-GGA SCAN level.

Summary:
- calculated total energy (eV per cell) = -424.8
- Fermi-level density of states (states/eV/atom) = 0.91
- uncorrected formation energy (eV per atom) = -0.264
- density (g/cm3) = 8.8
- total moment (μB/atom) = 0.001

CIF file:
```
data_In2RuF
_space_group_name_H-M_alt 'F m -3 m'
_space_group_IT_number 225
_space_group_name_Hall '-F 4 2 3'
_cell_length_a 6.412
_cell_length_b 6.412
_cell_length_c 6.412
_cell_angle_alpha 90.00
_cell_angle_beta 90.00
_cell_angle_gamma 90.00
loop_
_atom_site_label
_atom_site_type_symbol
_atom_site_fract_x
_atom_site_fract_y
_atom_site_fract_z
_atom_site_occupancy
In1 In 0.250 0.250 0.250 1
Ru1 Ru 0.000 0.000 0.000 1
F1 F 0.000 0.000 0.500 1
```

=====

No. 6
Below is a PBEsol-optimized structure of Li2YCd2, with properties calculated at the meta-GGA SCAN level.

Summary:
- polymorph energy (0 for the lowest one) (eV/f.u.) = 0.00
- calculated total energy (eV per cell) = -189.7
- Fermi-level density of states (states/eV/atom) = 0.50
- formation energy (eV/atom) = -0.284
- density (g/cm3) = 5.4
- total moment (μB/atom) = 0.000

CIF file:
```
data_Li2YCd2
_space_group_name_H-M_alt 'P 4/m b m'
_space_group_IT_number 127
_space_group_name_Hall '-P 4 2ab'
_cell_length_a 8.013
_cell_length_b 8.013
_cell_length_c 3.116
_cell_angle_alpha 90.00
_cell_angle_beta 90.00
_cell_angle_gamma 90.00
loop_
_atom_site_label
_atom_site_type_symbol
_atom_site_fract_x
_atom_site_fract_y
_atom_site_fract_z
_atom_site_occupancy
Li1 Li 0.116 0.384 0.000 1
Y1 Y 0.000 0.000 0.000 1
Cd1 Cd 0.182 0.682 0.500 1
```

=====

No. 7
Below is a PBEsol-optimized structure of MnAl2Ag, with properties calculated at the meta-GGA SCAN level.

Summary:
- polymorph energy (0 for the lowest one) (eV/f.u.) = 0.67
- calculated total energy (eV per cell) = -65.6
- Fermi-level density of states (states/eV/atom) = 0.37
- formation energy (eV/atom) = -0.120
- density (g/cm3) = 6.0
- total moment (μB/atom) = 0.805

CIF file:
```
data_MnAl2Ag
_space_group_name_H-M_alt 'P 4 m m'
_space_group_IT_number 99
_space_group_name_Hall 'P 4 -2'
_cell_length_a 2.810
_cell_length_b 2.810
_cell_length_c 7.594
_cell_angle_alpha 90.00
_cell_angle_beta 90.00
_cell_angle_gamma 90.00
loop_
_atom_site_label
_atom_site_type_symbol
_atom_site_fract_x
_atom_site_fract_y
_atom_site_fract_z
_atom_site_occupancy
Mn1 Mn 0.000 0.000 0.000 1
Al1 Al 0.000 0.000 0.516 1
Al2 Al 0.500 0.500 0.787 1
Ag1 Ag 0.500 0.500 0.259 1
```

=====

No. 8
Below is a PBEsol-optimized structure of TaV3H, with properties calculated at the meta-GGA SCAN level.

Summary:
- calculated total energy (eV per cell) = -122.0
- Fermi-level density of states (states/eV/atom) = 1.13
- density (g/cm3) = 9.3
- total moment (μB/atom) = 0.000

CIF file:
```
data_TaV3H
_space_group_name_H-M_alt 'P m -3 m'
_space_group_IT_number 221
_space_group_name_Hall '-P 4 2 3'
_cell_length_a 3.911
_cell_length_b 3.911
_cell_length_c 3.911
_cell_angle_alpha 90.00
_cell_angle_beta 90.00
_cell_angle_gamma 90.00
loop_
_atom_site_label
_atom_site_type_symbol
_atom_site_fract_x
_atom_site_fract_y
_atom_site_fract_z
_atom_site_occupancy
Ta1 Ta 0.000 0.000 0.000 1
V1 V 0.000 0.500 0.500 1
H1 H 0.500 0.500 0.500 1
```